A plane-wave DFT calculation with PBE was carried out for a relaxed NiTe2Br crystal.

Cell and atoms, written as POSCAR:
```
NiTe2Br
1.0
3.269 0.000 0.000
0.000 3.269 0.000
0.000 0.000 9.371
Br Ni Te
1 1 2
direct
0.000 0.000 0.591 Br
0.500 0.500 0.772 Ni
0.000 0.000 0.917 Te
0.500 0.500 0.220 Te
```

Properties
Total energy in eV/cell: -12.91
Raw formation energy in meV/atom: 207
Symmetry: No. 99
Magnetic moment in μB/f.u.: 0.00